Here is a relaxed CaV2PbO6 crystal from the Alexandria database. Energies are from GGA+U.

Values from the calculation:
VASP energy = -0.2594 Ha/atom
space-group type = C2/c, No. 15
V = 309 Å³ per cell

Geometry as extended XYZ:
```
20
Lattice="5.305 -5.188 0.000 5.305 5.188 0.000 -0.858 0.000 5.611" Properties=species:S:1:pos:R:3 pbc="T T T"
Ca 4.661 3.227 4.208
Ca 5.090 -3.227 1.403
V 1.486 0.991 4.401
V 1.916 -0.991 1.596
V 7.836 0.991 4.015
V 8.265 -0.991 1.209
Pb 5.090 1.089 1.403
Pb 4.661 -1.089 4.208
O 1.567 0.507 0.474
O 3.778 2.905 2.094
O 1.138 -0.507 3.280
O 3.198 1.319 4.753
O 6.403 2.905 0.712
O 3.627 -1.319 1.947
O 6.124 1.319 3.664
O 3.349 -2.905 4.899
O 6.553 -1.319 0.858
O 8.614 0.507 2.331
O 5.973 -2.905 3.517
O 8.185 -0.507 5.136
```